(1)
DFT (GGA-PBEsol) results for a relaxed structure of Mg2ZrZn.

a b c (Å): 4.1398 4.1398 4.4855
angles (deg): 90.00 90.00 90.00
Fractional coordinates of all 4 atoms:
Mg: 0.0000 0.5000 0.0000
Mg: 0.5000 0.0000 0.0000
Zr: 0.0000 0.0000 0.5000
Zn: 0.5000 0.5000 0.5000

Computed properties:
Formation energy   -63 meV per atom
Space group   P4/mmm
Total magnetization   0.00 Bohr magnetons per cell
Theoretical density   4.4 g/cm³



(2)
DFT (GGA-PBEsol) results for a relaxed structure of MgZr5.

a b c (Å): 5.1906 8.3570 8.3570
angles (deg): 21.57 90.00 90.00
Fractional coordinates of all 6 atoms:
Mg: 0.0000 0.0000 0.0000
Zr: 0.0000 0.3306 0.3306
Zr: 0.0000 0.6640 0.6640
Zr: 0.5000 0.1119 0.1119
Zr: 0.5000 0.4422 0.4422
Zr: 0.5000 0.7767 0.7767

Computed properties:
Formation energy   54 meV per atom
Space group   Amm2
Total magnetization   0.00 Bohr magnetons per cell
Theoretical density   6.0 g/cm³



(3)
DFT (GGA-PBEsol) results for a relaxed structure of Mg5Zr3.

a b c (Å): 6.2994 6.2994 4.3750
angles (deg): 90.00 90.00 91.63
Fractional coordinates of all 8 atoms:
Mg: 0.0000 0.0000 0.0000
Mg: 0.0000 0.5000 0.0000
Mg: 0.2446 0.7554 0.5000
Mg: 0.5000 0.0000 0.0000
Mg: 0.7554 0.2446 0.5000
Zr: 0.2673 0.2673 0.5000
Zr: 0.5000 0.5000 0.0000
Zr: 0.7327 0.7327 0.5000

Computed properties:
Formation energy   76 meV per atom
Space group   Cmmm
Total magnetization   0.00 Bohr magnetons per cell
Theoretical density   3.8 g/cm³



(4)
DFT (GGA-PBEsol) results for a relaxed structure of Mg7Zr.

a b c (Å): 6.3149 6.3149 6.3149
angles (deg): 60.00 60.00 60.00
Fractional coordinates of all 8 atoms:
Mg: 0.0000 0.0000 0.0000
Mg: 0.0000 0.0000 0.5000
Mg: 0.0000 0.5000 0.0000
Mg: 0.0000 0.5000 0.5000
Mg: 0.5000 0.0000 0.0000
Mg: 0.5000 0.0000 0.5000
Mg: 0.5000 0.5000 0.0000
Zr: 0.5000 0.5000 0.5000

Computed properties:
Formation energy   52 meV per atom
Space group   Fm-3m
Total magnetization   1.06 Bohr magnetons per cell
Theoretical density   2.4 g/cm³



(5)
DFT (GGA-PBEsol) results for a relaxed structure of MgZr4.

a b c (Å): 7.5841 7.5841 7.5841
angles (deg): 148.54 148.54 45.08
Fractional coordinates of all 5 atoms:
Mg: 0.0000 0.0000 0.0000
Zr: 0.2500 0.7500 0.5000
Zr: 0.4088 0.4088 0.0000
Zr: 0.5912 0.5912 0.0000
Zr: 0.7500 0.2500 0.5000

Computed properties:
Formation energy   479 meV per atom
Offset from the most stable computed form   430 meV/atom
Space group   I4/mmm
Total magnetization   0.00 Bohr magnetons per cell
Theoretical density   5.5 g/cm³



(6)
DFT (GGA-PBEsol) results for a relaxed structure of MgZr3.

a b c (Å): 6.2830 6.2830 5.0176
angles (deg): 90.00 90.00 116.91
Fractional coordinates of all 8 atoms:
Mg: 0.0914 0.9086 0.7500
Mg: 0.9086 0.0914 0.2500
Zr: 0.1005 0.4163 0.7500
Zr: 0.4105 0.5895 0.2500
Zr: 0.4163 0.1005 0.2500
Zr: 0.5837 0.8995 0.7500
Zr: 0.5895 0.4105 0.7500
Zr: 0.8995 0.5837 0.2500

Computed properties:
Formation energy   75 meV per atom
Space group   Cmcm
Total magnetization   0.00 Bohr magnetons per cell
Theoretical density   5.6 g/cm³



(7)
DFT (GGA-PBEsol) results for a relaxed structure of MgZr.

a b c (Å): 5.9862 5.9862 5.9862
angles (deg): 149.36 126.92 62.54
Fractional coordinates of all 4 atoms:
Mg: 0.3818 0.1318 0.2500
Mg: 0.6182 0.8682 0.7500
Zr: 0.1233 0.3733 0.7500
Zr: 0.8767 0.6267 0.2500

Computed properties:
Formation energy   83 meV per atom
Space group   Imma
Total magnetization   0.00 Bohr magnetons per cell
Theoretical density   4.4 g/cm³



(8)
DFT (GGA-PBEsol) results for a relaxed structure of MgZr3.

a b c (Å): 5.4315 10.3162 6.2461
angles (deg): 90.00 90.00 90.00
Fractional coordinates of all 16 atoms:
Mg: 0.0816 0.2500 0.1363
Mg: 0.4184 0.7500 0.6363
Mg: 0.5816 0.2500 0.3637
Mg: 0.9184 0.7500 0.8637
Zr: 0.0506 0.2500 0.6515
Zr: 0.2453 0.5055 0.8834
Zr: 0.2453 0.9945 0.8834
Zr: 0.2547 0.0055 0.3834
Zr: 0.2547 0.4945 0.3834
Zr: 0.4494 0.7500 0.1515
Zr: 0.5506 0.2500 0.8485
Zr: 0.7453 0.5055 0.6166
Zr: 0.7453 0.9945 0.6166
Zr: 0.7547 0.0055 0.1166
Zr: 0.7547 0.4945 0.1166
Zr: 0.9494 0.7500 0.3485

Computed properties:
Formation energy   75 meV per atom
Space group   Pnma
Total magnetization   0.00 Bohr magnetons per cell
Theoretical density   5.7 g/cm³